# GGA+U CsMoH2F8, relaxed
# V (Å³/atom): 16.84
# DOS at the Fermi energy (states/eV per atom): 0.00
# Calculated total energy (eV/atom): -4.73
data_CsMoH2F8
_cell_length_a 5.019
_cell_length_b 5.149
_cell_length_c 8.484
_cell_angle_alpha 100.73
_cell_angle_beta 90.06
_cell_angle_gamma 109.91
_space_group_name_H-M_alt 'P -1'
_space_group_IT_number 2
loop_
_space_group_symop_operation_xyz
'x,y,z'
'-x,-y,-z'
loop_
_atom_site_label
_atom_site_fract_x
_atom_site_fract_y
_atom_site_fract_z
_atom_site_occupancy
Cs1 0.000 0.000 0.000 1
Mo1 0.000 0.000 0.500 1
H1 0.477 0.682 0.213 1
F1 0.220 0.768 0.493 1
F2 0.224 0.201 0.347 1
F3 0.248 0.262 0.686 1
F4 0.344 0.661 0.124 1